Density functional theory data (PBE) for an optimized crystal structure of Zn2TeRh.

Properties
density of states at the Fermi level: 1.995 states/eV per cell
electronic total energy: -3.316 eV per atom
V: 17.4 Å³ per atom
SG: P4/mmm
formation energy (no corrections): -55 meV/atom

Unit cell a=3.5006 b=3.5053 c=5.6640 alpha=90.00 beta=90.00 gamma=90.00
With the nearest neighbours (Å) after each atom.
Fractional coordinates of all 4 atoms:
Rh 0.5000 0.5000 0.2500  8 Zn 2.76, 2 Te 2.83
Te 0.5000 0.5000 0.7500  2 Rh 2.83, 8 Zn 2.96
Zn 0.0000 0.0000 0.0352  1 Zn 2.43
Zn 0.0000 0.0000 0.4648  1 Zn 2.43

---

Density functional theory data (PBE) for an optimized crystal structure of BaScAgS3.

Properties
electronic total energy: -5.179 eV per atom
V: 26.4 Å³ per atom
SG: C2/m
formation energy (no corrections): -1265 meV/atom

Unit cell a=7.0173 b=7.0173 c=7.6374 alpha=69.86 beta=69.86 gamma=68.01
With the nearest neighbours (Å) after each atom.
Fractional coordinates of all 12 atoms:
Ba 0.7084 0.7084 0.8296  5 S 3.09-3.21
Ba 0.2916 0.2916 0.1704  5 S 3.09-3.21
Sc 0.0975 0.0975 0.8163  3 S 2.34-2.47
Sc 0.9025 0.9025 0.1837  3 S 2.34-2.47
Ag 0.2869 0.7131 0.5000  4 S 2.53-2.72
Ag 0.7131 0.2869 0.5000  4 S 2.53-2.72
S 0.3018 0.3018 0.5683  1 Sc 2.34
S 0.1539 0.7177 0.8515  1 Sc 2.47, 1 Ag 2.53
S 0.7177 0.1539 0.8515  1 Sc 2.47, 1 Ag 2.53
S 0.2823 0.8461 0.1485  1 Sc 2.47, 1 Ag 2.53
S 0.8461 0.2823 0.1485  1 Sc 2.47, 1 Ag 2.53
S 0.6982 0.6982 0.4317  1 Sc 2.34

---

Density functional theory data (PBE) for an optimized crystal structure of TcNi2Te.

Properties
density of states at the Fermi level: 6.730 states/eV per cell
electronic total energy: -5.749 eV per atom
V: 15.5 Å³ per atom
SG: R3m
formation energy (no corrections): 519 meV/atom

Unit cell a=7.7871 b=7.7871 c=7.7871 alpha=22.72 beta=22.72 gamma=22.72
With the nearest neighbours (Å) after each atom.
Fractional coordinates of all 4 atoms:
Ni 0.9960 0.9960 0.9960  3 Ni 2.50, 3 Te 2.61
Ni 0.2518 0.2518 0.2518  3 Ni 2.50, 3 Tc 2.54
Tc 0.5050 0.5050 0.5050  3 Ni 2.54, 3 Te 2.73
Te 0.7471 0.7471 0.7471  3 Ni 2.61, 3 Tc 2.73

---

Density functional theory data (PBE) for an optimized crystal structure of K2I2Br7.

Properties
relative energy among the computed polymorphs: 0.0 kJ per mole of atoms
density of states at the Fermi level: 2.704 states/eV per cell
electronic total energy: -2.188 eV per atom
V: 43.5 Å³ per atom
SG: P2_1/c
formation energy (no corrections): -642 meV/atom

Unit cell a=6.0518 b=10.7859 c=16.1730 alpha=90.00 beta=90.00 gamma=114.85
With the nearest neighbours (Å) after each atom.
Fractional coordinates of all 22 atoms:
K 0.5704 0.9608 0.1876  6 Br 3.33-3.53
K 0.4296 0.5392 0.6876  6 Br 3.33-3.53
K 0.4296 0.0392 0.8124  6 Br 3.33-3.53
K 0.5704 0.4608 0.3124  6 Br 3.33-3.53
I 0.8027 0.7025 0.9875  4 Br 2.69-2.93
I 0.1973 0.2975 0.0125  4 Br 2.69-2.93
I 0.8027 0.2025 0.5125  4 Br 2.69-2.93
I 0.1973 0.7975 0.4875  4 Br 2.69-2.93
Br 0.0000 0.0000 0.5000  2 I 2.90
Br 0.0000 0.5000 0.0000  2 I 2.90
Br 0.4012 0.0948 0.0137  1 Br 2.81, 1 I 2.93
Br 0.5988 0.4052 0.5137  1 Br 2.81, 1 I 2.93
Br 0.5988 0.9052 0.9863  1 Br 2.81, 1 I 2.93
Br 0.4012 0.5948 0.4863  1 Br 2.81, 1 I 2.93
Br 0.8927 0.2336 0.6761  1 I 2.69
Br 0.8927 0.7336 0.8239  1 I 2.69
Br 0.1073 0.2664 0.1761  1 I 2.69
Br 0.1073 0.7664 0.3239  1 I 2.69
Br 0.2656 0.8025 0.6556  1 I 2.75
Br 0.2656 0.3025 0.8444  1 I 2.75
Br 0.7344 0.6975 0.1556  1 I 2.75
Br 0.7344 0.1975 0.3444  1 I 2.75

---

Density functional theory data (PBE) for an optimized crystal structure of TbTm2Pt2.

Properties
relative energy among the computed polymorphs: 4.2 kJ per mole of atoms
density of states at the Fermi level: 7.537 states/eV per cell
ΔH_f (0 K): -1.03 eV per atom
electronic total energy: -6.164 eV per atom
V: 23.7 Å³ per atom
SG: Cmcm

Unit cell a=3.7477 b=4.6186 c=13.7960 alpha=90.00 beta=97.81 gamma=90.00
With the nearest neighbours (Å) after each atom.
Fractional coordinates of all 10 atoms:
Tb 0.3634 0.2500 0.7267  5 Pt 2.84-3.03
Tb 0.6366 0.7500 0.2733  5 Pt 2.84-3.03
Tm 0.0507 0.2500 0.1015  7 Pt 2.91-3.01
Tm 0.9493 0.7500 0.8985  7 Pt 2.91-3.01
Tm 0.7320 0.2500 0.4640  2 Pt 2.77
Tm 0.2680 0.7500 0.5360  2 Pt 2.77
Pt 0.1573 0.2500 0.3146  3 Tm 2.77-2.91, 4 Tb 3.03
Pt 0.8427 0.7500 0.6854  3 Tm 2.77-2.91, 4 Tb 3.03
Pt 0.4672 0.2500 0.9344  1 Tb 2.84, 2 Pt 2.92, 6 Tm 2.95-3.01
Pt 0.5328 0.7500 0.0656  1 Tb 2.84, 2 Pt 2.92, 6 Tm 2.95-3.01

---

Density functional theory data (PBE) for an optimized crystal structure of Pm2TmIn2Ag2.

Properties
density of states at the Fermi level: 5.676 states/eV per cell
ΔH_f (0 K): -0.28 eV per atom
electronic total energy: -3.877 eV per atom
V: 26.3 Å³ per atom
SG: R-3m

Unit cell a=4.8418 b=4.8418 c=9.4886 alpha=75.22 beta=75.22 gamma=60.00
With the nearest neighbours (Å) after each atom.
Fractional coordinates of all 7 atoms:
Pm 0.1253 0.1253 0.6242  3 In 3.18, 3 Ag 3.37, 1 Tm 3.41
Pm 0.8747 0.8747 0.3758  3 In 3.18, 3 Ag 3.37, 1 Tm 3.41
Tm 0.0000 0.0000 0.0000  6 Ag 3.18, 6 In 3.37, 2 Pm 3.41
In 0.7359 0.7359 0.7923  3 Ag 2.82
In 0.2641 0.2641 0.2077  3 Ag 2.82
Ag 0.6107 0.6107 0.1678  3 In 2.82
Ag 0.3893 0.3893 0.8322  3 In 2.82

---

Density functional theory data (PBE) for an optimized crystal structure of LiPmScRu.

Properties
density of states at the Fermi level: 2.755 states/eV per cell
ΔH_f (0 K): -0.23 eV per atom
electronic total energy: -5.796 eV per atom
V: 20.0 Å³ per atom
SG: F-43m

Unit cell a=4.8354 b=4.8354 c=4.8354 alpha=60.00 beta=60.00 gamma=60.00
With the nearest neighbours (Å) after each atom.
Fractional coordinates of all 4 atoms:
Sc 0.5000 0.5000 0.5000  4 Ru 2.96, 4 Li 2.96
Ru 0.7500 0.7500 0.7500  4 Sc 2.96, 4 Pm 2.96
Li 0.2500 0.2500 0.2500  4 Pm 2.96, 4 Sc 2.96
Pm 0.0000 0.0000 0.0000  4 Li 2.96, 4 Ru 2.96

---

Density functional theory data (PBE) for an optimized crystal structure of Pa2Ge3Pd.

Properties
relative energy among the computed polymorphs: 0.0 kJ per mole of atoms
density of states at the Fermi level: 7.494 states/eV per cell
ΔH_f (0 K): -0.49 eV per atom
electronic total energy: -6.828 eV per atom
V: 20.5 Å³ per atom
SG: Pmm2

Unit cell a=3.8445 b=4.3562 c=7.3495 alpha=90.00 beta=90.00 gamma=90.00
With the nearest neighbours (Å) after each atom.
Fractional coordinates of all 6 atoms:
Pa 0.0000 0.5000 0.9953  10 Ge 3.09-3.17, 2 Pd 3.13
Pa 0.0000 0.0000 0.5062  8 Ge 3.06-3.14, 4 Pd 3.18
Ge 0.5000 0.0000 0.8309  3 Ge 2.49
Ge 0.5000 0.0000 0.1695  2 Pd 2.48, 1 Ge 2.49
Ge 0.5000 0.5000 0.6669  1 Pd 2.47, 2 Ge 2.49
Pd 0.5000 0.5000 0.3312  3 Ge 2.47-2.48

---

Density functional theory data (PBE) for an optimized crystal structure of NaY2Br.

Properties
relative energy among the computed polymorphs: 12.0 kJ per mole of atoms
density of states at the Fermi level: 5.086 states/eV per cell
electronic total energy: -3.957 eV per atom
V: 28.6 Å³ per atom
SG: Fm-3m
formation energy (no corrections): 23 meV/atom

Unit cell a=5.4507 b=5.4507 c=5.4507 alpha=60.00 beta=60.00 gamma=60.00
With the nearest neighbours (Å) after each atom.
Fractional coordinates of all 4 atoms:
Y 0.2500 0.2500 0.2500  4 Br 3.34, 4 Na 3.34
Y 0.7500 0.7500 0.7500  4 Br 3.34, 4 Na 3.34
Na 0.0000 0.0000 0.0000  8 Y 3.34
Br 0.5000 0.5000 0.5000  8 Y 3.34

---

Density functional theory data (PBE) for an optimized crystal structure of Y2CuTe.

Properties
density of states at the Fermi level: 3.023 states/eV per cell
electronic total energy: -5.534 eV per atom
V: 24.9 Å³ per atom
SG: I-4m2
formation energy (no corrections): -493 meV/atom

Unit cell a=6.2526 b=6.2526 c=6.2526 alpha=140.09 beta=140.09 gamma=57.72
With the nearest neighbours (Å) after each atom.
Fractional coordinates of all 4 atoms:
Cu 0.5000 0.5000 0.0000  4 Y 3.02
Te 0.7500 0.2500 0.5000  4 Y 3.02
Y 0.0000 0.0000 0.0000  4 Cu 3.02
Y 0.2500 0.7500 0.5000  4 Te 3.02

---

Density functional theory data (PBE) for an optimized crystal structure of AlSbS.

Properties
density of states at the Fermi level: 1.978 states/eV per cell
electronic total energy: -4.541 eV per atom
V: 30.0 Å³ per atom
SG: P-1
formation energy (no corrections): -543 meV/atom

Unit cell a=3.4121 b=6.5994 c=8.4942 alpha=95.31 beta=78.44 gamma=76.50
With the nearest neighbours (Å) after each atom.
Fractional coordinates of all 6 atoms:
Sb 0.6421 0.7886 0.9083  1 Al 2.66, 1 Sb 2.91
Sb 0.3579 0.2114 0.0917  1 Al 2.66, 1 Sb 2.91
S 0.0983 0.2151 0.6096  3 Al 2.29-2.36
S 0.9017 0.7849 0.3904  3 Al 2.29-2.36
Al 0.6796 0.9896 0.6506  3 S 2.29-2.36
Al 0.3204 0.0104 0.3494  3 S 2.29-2.36

---

Density functional theory data (PBE) for an optimized crystal structure of Pm8Sm2Y.

Properties
relative energy among the computed polymorphs: 0.0 kJ per mole of atoms
density of states at the Fermi level: 16.579 states/eV per cell
ΔH_f (0 K): 0.01 eV per atom
electronic total energy: -4.887 eV per atom
V: 34.1 Å³ per atom
SG: C2/m

Unit cell a=5.1488 b=8.1456 c=9.6256 alpha=104.70 beta=105.51 gamma=90.00
With the nearest neighbours (Å) after each atom.
Fractional coordinates of all 11 atoms:
Pm 0.5908 0.4538 0.1816  1 Y 3.64, 8 Pm 3.64-3.65, 3 Sm 3.64
Pm 0.3182 0.0905 0.6365  8 Pm 3.64-3.65, 1 Y 3.64, 3 Sm 3.64
Pm 0.1364 0.1821 0.2729  7 Pm 3.64, 3 Sm 3.64, 2 Y 3.64
Pm 0.0457 0.7278 0.0915  1 Sm 3.63, 9 Pm 3.64-3.65, 2 Y 3.64
Pm 0.8636 0.8179 0.7271  7 Pm 3.64, 3 Sm 3.64, 2 Y 3.64
Pm 0.6818 0.9095 0.3635  8 Pm 3.64-3.65, 1 Y 3.64, 3 Sm 3.64
Pm 0.4092 0.5462 0.8184  1 Y 3.64, 8 Pm 3.64-3.65, 3 Sm 3.64
Pm 0.9543 0.2722 0.9085  1 Sm 3.63, 9 Pm 3.64-3.65, 2 Y 3.64
Sm 0.2271 0.6362 0.4541  10 Pm 3.63-3.64, 2 Sm 3.64
Sm 0.7729 0.3638 0.5459  10 Pm 3.63-3.64, 2 Sm 3.64
Y 0.5000 0.0000 0.0000  12 Pm 3.64

---

Which of these has the lowest electronic total energy? Pa2Ge3Pd

---

What is the formula in the ninth record? NaY2Br

---

electronic total energy of number 4 (K2I2Br7)? -2.188 eV per atom